No. 1
Entry from OQMD via LeMat-Bulk: an optimized crystal structure of TlCoMoAu (PBE-GGA).

Summary:
Energy above the most stable polymorph in this dataset (meV/atom): 0

Unit cell a=4.570 b=4.570 c=4.570 alpha=60.00 beta=60.00 gamma=60.00
Sites, in units of the cell vectors:
Tl1 0.000 0.000 0.000
Au1 0.500 0.500 0.500
Mo1 0.250 0.250 0.250
Co1 0.750 0.750 0.750

No. 2
Entry from OQMD via LeMat-Bulk: an optimized crystal structure of HfTaCuB (PBE-GGA).

Summary:
Energy above the most stable polymorph in this dataset (meV/atom): 0

Unit cell a=4.381 b=4.381 c=4.381 alpha=60.00 beta=60.00 gamma=60.00
Sites, in units of the cell vectors:
B1 0.000 0.000 0.000
Cu1 0.750 0.750 0.750
Hf1 0.500 0.500 0.500
Ta1 0.250 0.250 0.250

No. 3
Entry from OQMD via LeMat-Bulk: an optimized crystal structure of TlHg3PtS4 (PBE-GGA).

Summary:
Calculated total energy (eV/atom): -2.7468

Unit cell a=6.205 b=6.205 c=6.205 alpha=90.00 beta=90.00 gamma=90.00
Sites, in units of the cell vectors:
Pt1 0.500 0.500 0.500
Hg1 0.500 0.500 0.000
Hg2 0.000 0.500 0.500
Hg3 0.500 0.000 0.500
S1 0.257 0.257 0.257
S2 0.743 0.743 0.257
S3 0.743 0.257 0.743
S4 0.257 0.743 0.743
Tl1 0.000 0.000 0.000

No. 4
Entry from OQMD via LeMat-Bulk: an optimized crystal structure of TmZrMo2C3 (PBE-GGA).

Summary:
Calculated total energy (eV/atom): -9.3030

Unit cell a=5.881 b=5.881 c=5.540 alpha=109.04 beta=109.04 gamma=32.50
Sites, in units of the cell vectors:
C1 0.738 0.738 0.752
C2 0.997 0.997 0.989
C3 0.269 0.269 0.255
Zr1 0.379 0.379 0.682
Mo1 0.855 0.855 0.142
Mo2 0.148 0.148 0.864
Tm1 0.614 0.614 0.315

no.,theoretical density (g/cm³)
1,13.69
2,12.12
3,7.85
4,8.37